# SiAs2Br

A relaxed SiAs2Br crystal (PBE-GGA, Alexandria).

## Properties
The formation energy from raw total energies comes out at 1.41 eV/f.u. For the energy above the most stable polymorph in this dataset, the calculation gives 295.9 meV per atom. For the total energy, the calculation gives -3.75 eV/atom. For the density, the calculation gives 3.874 Mg/m³.

abc: 3.7664 3.7664 9.2314
angles: 90.00 90.00 122.44
Closest atoms and distances in Å follow each position.
Positions (direct):
Si: 0.0000 0.0000 0.0000  2 Br 2.59, 2 As 2.61
As: 0.0000 0.0000 0.6186  2 As 2.44
As: 0.5000 0.5000 0.7960  2 As 2.44, 2 Si 2.61
Br: 0.5000 0.5000 0.1998  2 Si 2.59



# Sr2InHg2

A relaxed Sr2InHg2 crystal (PBE-GGA, Alexandria).

## Properties
For the energy above the most stable polymorph in this dataset, the calculation gives 179.8 meV per atom. The calculation puts the formation energy at -0.295 eV per atom. For the total energy, the calculation gives -1.64 eV/atom. For the density, the calculation gives 6.444 Mg/m³.

abc: 6.2966 6.2966 6.2966
angles: 119.38 119.38 91.07
Closest atoms and distances in Å follow each position.
Positions (direct):
Sr: 0.2500 0.7500 0.5000  4 Hg 3.28
Sr: 0.7500 0.2500 0.5000  4 Hg 3.28
In: 0.0000 0.0000 0.0000  2 Hg 3.01
Hg: 0.3418 0.3418 0.0000  1 Hg 2.79, 1 In 3.01
Hg: 0.6582 0.6582 0.0000  1 Hg 2.79, 1 In 3.01



# Li3TbBi3

A relaxed Li3TbBi3 crystal (PBE-GGA, Alexandria).

## Properties
The calculation puts the formation energy at -0.392 eV per atom. For the total energy, the calculation gives -3.54 eV/atom. For the density, the calculation gives 6.727 Mg/m³.

abc: 7.6723 7.6723 7.6723
angles: 72.24 72.24 72.24
Closest atoms and distances in Å follow each position.
Positions (direct):
Li: 0.1611 0.4267 0.6776  5 Bi 3.02-3.29
Li: 0.3224 0.8389 0.5733  5 Bi 3.02-3.29
Li: 0.4267 0.6776 0.1611  5 Bi 3.02-3.29
Li: 0.5733 0.3224 0.8389  5 Bi 3.02-3.29
Li: 0.6776 0.1611 0.4267  5 Bi 3.02-3.29
Li: 0.8389 0.5733 0.3224  5 Bi 3.02-3.29
Tb: 0.1947 0.1947 0.1947  6 Bi 3.15-3.16, 3 Li 3.48
Tb: 0.8053 0.8053 0.8053  6 Bi 3.15-3.16, 3 Li 3.48
Bi: 0.0346 0.8295 0.3839  5 Li 3.02-3.29, 2 Tb 3.15-3.16
Bi: 0.1705 0.6161 0.9654  5 Li 3.02-3.29, 2 Tb 3.15-3.16
Bi: 0.3839 0.0346 0.8295  5 Li 3.02-3.29, 2 Tb 3.15-3.16
Bi: 0.6161 0.9654 0.1705  5 Li 3.02-3.29, 2 Tb 3.15-3.16
Bi: 0.8295 0.3839 0.0346  5 Li 3.02-3.29, 2 Tb 3.15-3.16
Bi: 0.9654 0.1705 0.6161  5 Li 3.02-3.29, 2 Tb 3.15-3.16



# SrLiCd2Cu

A relaxed SrLiCd2Cu crystal (PBE-GGA, Alexandria).

## Properties
The calculation puts the formation energy at -0.086 eV per atom. For the total energy, the calculation gives -1.99 eV/atom. For the density, the calculation gives 4.994 Mg/m³.

abc: 5.1054 5.1054 4.8849
angles: 90.00 90.00 90.00
Closest atoms and distances in Å follow each position.
Positions (direct):
Sr: 0.0000 0.0000 0.0000  8 Cd 3.53, 4 Li 3.61
Li: 0.5000 0.5000 0.0000  2 Cu 2.44
Cd: 0.0000 0.5000 0.5000  2 Cu 2.55
Cd: 0.5000 0.0000 0.5000  2 Cu 2.55
Cu: 0.5000 0.5000 0.5000  2 Li 2.44, 4 Cd 2.55